Compound: La4PdSe2Cl
Source: Alexandria via LeMat-Bulk
Functional: PBE
Structure: relaxed

Lattice parameters (Å, degrees): 4.2018 7.5839 7.4323 70.42 90.00 90.00
Fractional positions:
La 0.0000 0.7426 0.7603
La 0.0000 0.2574 0.2397
La 0.5000 0.2453 0.7500
La 0.5000 0.7547 0.2500
Se 0.5000 0.0000 0.5000
Se 0.0000 0.0000 0.0000
Cl 0.0000 0.5000 0.5000
Pd 0.5000 0.5000 0.0000

Values from the calculation:
Raw formation energy in eV/atom: -1.5777
Space group: P2/m
Crystal system: monoclinic
D(E_F) in states/eV/cell: 5.47